## LaTa2Os (PBE-GGA)

Data for a geometry-optimized LaTa2Os structure.

abc: 3.268 4.772 5.015
angles: 90.00 90.00 90.00
Positions (direct):
La 0.000 0.000 0.000
Ta 0.000 0.500 0.500
Ta 0.500 0.500 0.000
Os 0.500 0.000 0.500

## Properties
As for the distance to the lowest polymorph of the same formula: 0.3062 eV per atom. Its energy of formation from the pure elements is 0.40 eV per atom. The calculation puts the spin magnetization at 0.0 μB per formula unit. For the density of states at the Fermi level, the calculation gives 0.877 states/eV per atom.

## In2SbW (PBE-GGA)

Data for a geometry-optimized In2SbW structure.

abc: 4.974 4.974 4.974
angles: 60.00 60.00 60.00
Positions (direct):
In 0.000 0.000 0.000
In 0.250 0.250 0.250
Sb 0.500 0.500 0.500
W 0.750 0.750 0.750

## Properties
The calculation puts the spin magnetization at 0.0 μB per formula unit. The uncorrected formation energy comes out at 0.844 eV per atom. For the density of states at the Fermi level, the calculation gives 0.906 states/eV per atom.

## LiLaGdHg (PBE-GGA)

Data for a geometry-optimized LiLaGdHg structure.

abc: 5.387 5.387 5.387
angles: 60.00 60.00 60.00
Positions (direct):
Li 0.000 0.000 0.000
La 0.250 0.250 0.250
Gd 0.750 0.750 0.750
Hg 0.500 0.500 0.500

## Properties
Its energy of formation from the pure elements is -0.22 eV per atom. The calculation puts the spin magnetization at 8.0 μB per formula unit. For the density of states at the Fermi level, the calculation gives 1.286 states/eV per atom.

## LaCuOs2 (PBE-GGA)

Data for a geometry-optimized LaCuOs2 structure.

abc: 5.024 5.024 5.073
angles: 101.35 101.35 34.51
Positions (direct):
La 0.000 0.000 0.000
Cu 0.500 0.500 0.500
Os 0.227 0.227 0.694
Os 0.773 0.773 0.306

## Properties
As for the distance to the lowest polymorph of the same formula: 0.2059 eV per atom. Its energy of formation from the pure elements is 0.46 eV per atom. The calculation puts the spin magnetization at 0.0 μB per formula unit. For the density of states at the Fermi level, the calculation gives 1.050 states/eV per atom.

## Rb4Pr3InTe8 (PBE-GGA)

Data for a geometry-optimized Rb4Pr3InTe8 structure.

abc: 10.125 10.125 10.125
angles: 54.55 54.55 54.55
Positions (direct):
Rb 0.000 0.000 0.000
Rb 0.000 0.500 0.500
Rb 0.500 0.000 0.500
Rb 0.500 0.500 0.000
Pr 0.000 0.000 0.500
Pr 0.000 0.500 0.000
Pr 0.500 0.000 0.000
In 0.500 0.500 0.500
Te 0.236 0.236 0.236
Te 0.245 0.728 0.728
Te 0.272 0.272 0.755
Te 0.272 0.755 0.272
Te 0.728 0.245 0.728
Te 0.728 0.728 0.245
Te 0.755 0.272 0.272
Te 0.764 0.764 0.764

## Properties
The calculation puts the spin magnetization at 0.0 μB per formula unit. The uncorrected formation energy comes out at -1.181 eV per atom. For the density of states at the Fermi level, the calculation gives 0.130 states/eV per atom.

## Pu2NbGa3 (PBE-GGA)

Data for a geometry-optimized Pu2NbGa3 structure.

abc: 5.500 5.500 5.500
angles: 61.49 61.49 61.49
Positions (direct):
Pu 0.125 0.125 0.125
Pu 0.875 0.875 0.875
Nb 0.500 0.500 0.500
Ga 0.000 0.500 0.500
Ga 0.500 0.000 0.500
Ga 0.500 0.500 0.000

## Properties
Its energy of formation from the pure elements is -0.30 eV per atom. The calculation puts the spin magnetization at 10.8 μB per formula unit. For the density of states at the Fermi level, the calculation gives 2.404 states/eV per atom.